Dy4Al5Si6: optimized geometry, PBE.

POSCAR file:
```
Dy4Al5Si6
1.0
2.086 -9.437 0.000
2.086 9.437 0.000
0.000 0.000 15.040
Dy Al Si
8 10 12
Direct
0.016 0.984 0.500 Dy
0.039 0.961 0.768 Dy
0.164 0.836 0.308 Dy
0.181 0.819 0.946 Dy
0.819 0.181 0.446 Dy
0.836 0.164 0.808 Dy
0.961 0.039 0.268 Dy
0.984 0.016 0.000 Dy
0.151 0.849 0.628 Al
0.306 0.694 0.618 Al
0.340 0.660 0.280 Al
0.356 0.644 0.975 Al
0.445 0.555 0.681 Al
0.555 0.445 0.181 Al
0.644 0.356 0.475 Al
0.660 0.340 0.780 Al
0.694 0.306 0.118 Al
0.849 0.151 0.128 Al
0.110 0.890 0.119 Si
0.216 0.784 0.489 Si
0.231 0.769 0.760 Si
0.427 0.573 0.130 Si
0.428 0.572 0.409 Si
0.448 0.552 0.853 Si
0.552 0.448 0.353 Si
0.572 0.428 0.909 Si
0.573 0.427 0.630 Si
0.769 0.231 0.260 Si
0.784 0.216 0.989 Si
0.890 0.110 0.619 Si
```

Results
magnetic moment: 0.000 μB/f.u.
calculated total energy: -152.045 eV for the cell shown
space group: No. 36
density of states at the Fermi level: 15.3 states/eV/cell
raw formation energy: -0.424 eV/atom